A plane-wave DFT calculation with GGA-PBE was carried out for Ho2Er3TmAgTe2 after structural relaxation.

Cell and atoms, written as POSCAR:
```
Ho2Er3TmAgTe2
1.0
3.942 0.000 0.000
0.000 7.293 4.199
0.000 -7.293 4.199
Ho Er Tm Ag Te
2 3 1 1 2
Direct
0.000 0.201 0.799
0.000 0.799 0.201
0.500 0.201 0.456
0.500 0.456 0.201
0.500 0.946 0.946
0.000 0.602 0.602
0.000 0.202 0.202
0.500 0.535 0.868
0.500 0.868 0.535
```

The calculation puts the magnetic moment at 0.0 μB/f.u. The total energy is -4.669 eV/atom.